(1)
## Ba2RhW (meta-GGA SCAN)

Data for a crystal of Ba2RhW relaxed with PBEsol.

Values from the calculation:
* energy of formation from the pure elements: 1272 meV per atom
* final energy: -177.47 eV for the cell shown
* energy above the lowest structure with this stoichiometry: 32 meV per atom

Cell lengths 5.7237, 5.7237, 5.7237 Å; angles 131.52, 131.52, 70.99 degrees
Closest atoms and distances in Å follow each position.
Fractional coordinates of all 4 atoms:
Ba 0.2500 0.7500 0.5000  4 W 3.31, 4 Rh 3.31, 4 Ba 3.32
Ba 0.7500 0.2500 0.5000  4 W 3.31, 4 Rh 3.31, 4 Ba 3.32
Rh 0.0000 0.0000 0.0000  8 Ba 3.31, 4 W 3.32
W 0.5000 0.5000 0.0000  8 Ba 3.31, 4 Rh 3.32


(2)
## BaY2Rh (meta-GGA SCAN)

Data for a crystal of BaY2Rh relaxed with PBEsol.

Values from the calculation:
* energy of formation from the pure elements: 303 meV per atom
* final energy: -127.80 eV for the cell shown
* energy above the lowest structure with this stoichiometry: 569 meV per atom

Cell lengths 5.9709, 5.9709, 3.4447 Å; angles 101.72, 101.72, 114.36 degrees
Closest atoms and distances in Å follow each position.
Fractional coordinates of all 4 atoms:
Ba 0.0000 0.0000 0.0000  4 Y 3.13, 2 Rh 3.24, 2 Ba 3.44
Y 0.0000 0.5000 0.5000  2 Ba 3.13, 2 Rh 3.13, 4 Y 3.24-3.44
Y 0.5000 0.0000 0.5000  2 Ba 3.13, 2 Rh 3.13, 4 Y 3.24-3.44
Rh 0.5000 0.5000 0.0000  4 Y 3.13, 2 Ba 3.24, 2 Rh 3.44